No. 1
First-principles (GGA-PBE) data for a relaxed TaReNiGe crystal, as listed in OQMD.

- symmetry = F-43m (216)

```
TaReNiGe
1.0
1.5987 -4.0523 -0.5052
-2.7152 -3.3392 -0.8427
-0.0007 -1.8793 -3.9624
Ge Re Ni Ta
1 1 1 1
direct
0.0000 0.0000 0.0000
0.5000 0.5000 0.5000
0.7500 0.7500 0.7500
0.2500 0.2500 0.2500
```


No. 2
First-principles (GGA-PBE) data for a relaxed ReTcNiGe crystal, as listed in OQMD.

- symmetry = F-43m (216)

```
ReTcNiGe
1.0
-4.2140 -0.6662 0.1836
-2.6133 2.1192 -2.6297
-1.9749 -2.0682 -3.1714
Tc Ni Ge Re
1 1 1 1
direct
0.2500 0.2500 0.2500
0.7500 0.7500 0.7500
0.0000 0.0000 0.0000
0.5000 0.5000 0.5000
```


No. 3
First-principles (GGA-PBE) data for a relaxed NiGe2S crystal, as listed in OQMD.

- symmetry = Pmn2_1 (31)

```
NiGe2S
1.0
3.4261 0.0000 0.0000
0.0000 5.4188 0.0000
0.0000 0.0000 7.2601
Ge S Ni
4 2 2
direct
0.0000 0.0187 0.0568
0.5000 0.9813 0.5568
0.5000 0.5251 0.9429
0.0000 0.4749 0.4429
0.5000 0.7609 0.2449
0.0000 0.2391 0.7449
0.0000 0.7712 0.7554
0.5000 0.2288 0.2554
```


No. 4
First-principles (GGA-PBE) data for a relaxed NiGe2S crystal, as listed in OQMD.

- symmetry = Pmc2_1 (26)

```
NiGe2S
1.0
-2.7273 -0.0843 -1.9033
-2.5624 -4.5458 3.8732
-2.6233 4.5114 3.5593
Ge S Ni
4 2 2
direct
0.5000 0.1433 0.2203
0.0000 0.7233 0.2131
0.5000 0.8567 0.7203
0.0000 0.2767 0.7131
0.5000 0.4977 0.1047
0.5000 0.5023 0.6047
0.0000 0.0020 0.9620
0.0000 0.9980 0.4620
```


No. 5
First-principles (GGA-PBE) data for a relaxed NiGe2S crystal, as listed in OQMD.

- symmetry = P2_1/m (11)

```
NiGe2S
1.0
-3.7266 2.3197 3.7300
1.7301 -1.3932 2.5950
4.0090 5.4205 0.2372
Ge Ni S
4 2 2
direct
0.0951 0.7500 0.6424
0.9049 0.2500 0.3576
0.4196 0.7500 0.2171
0.5804 0.2500 0.7829
0.3279 0.2500 0.4773
0.6721 0.7500 0.5227
0.7519 0.7500 0.0082
0.2481 0.2500 0.9918
```


No. 6
First-principles (GGA-PBE) data for a relaxed Ni3GeS4 crystal, as listed in OQMD.

- symmetry = I-42m (121)

```
Ni3GeS4
1.0
-2.5845 2.5845 5.1299
2.5845 -2.5845 5.1299
2.5845 2.5845 -5.1299
Ni S Ge
3 4 1
direct
0.5000 0.5000 0.0000
0.2500 0.7500 0.5000
0.7500 0.2500 0.5000
0.8696 0.8696 0.4767
0.3928 0.3928 0.5233
0.1304 0.6072 0.0000
0.6072 0.1304 0.0000
0.0000 0.0000 0.0000
```


No. 7
First-principles (GGA-PBE) data for a relaxed Ni3GeSe2S2 crystal, as listed in OQMD.

- symmetry = C2 (5)

```
Ni3GeSe2S2
1.0
5.9450 -2.6457 0.0000
5.9450 2.6457 0.0000
-2.3622 0.0000 4.7442
Ni Se S Ge
3 2 2 1
direct
0.7528 0.7468 0.2205
0.2532 0.2472 0.7795
0.9786 0.0214 0.0000
0.1024 0.6289 0.6300
0.3711 0.8976 0.3700
0.6340 0.1078 0.1098
0.8922 0.3660 0.8902
0.5155 0.4845 0.5000
```


No. 8
First-principles (GGA-PBE) data for a relaxed ZnNiGeS3 crystal, as listed in OQMD.

- symmetry = Cmcm (63)

```
ZnNiGeS3
1.0
-0.2249 -3.7494 5.2127
-1.8335 -5.6043 2.5515
8.1109 -3.7086 -2.3176
Zn Ge Ni S
2 2 2 6
direct
0.5184 0.5184 0.7500
0.4816 0.4816 0.2500
0.7674 0.7674 0.2500
0.2326 0.2326 0.7500
0.0000 0.0000 0.5000
0.0000 0.0000 0.0000
0.6330 0.6330 0.9461
0.6330 0.6330 0.5539
0.0976 0.0976 0.2500
0.9024 0.9024 0.7500
0.3670 0.3670 0.0539
0.3670 0.3670 0.4461
```


No. 9
First-principles (GGA-PBE) data for a relaxed ZnNiGeS3 crystal, as listed in OQMD.

- symmetry = Cmcm (63)

```
ZnNiGeS3
1.0
9.0036 0.0000 0.0000
0.0000 1.7257 6.5849
0.0000 -1.7257 6.5849
S Ni Zn Ge
6 2 2 2
direct
0.6797 0.3559 0.3559
0.0000 0.9183 0.9183
0.8203 0.6441 0.6441
0.5000 0.0817 0.0817
0.1797 0.6441 0.6441
0.3203 0.3559 0.3559
0.5000 0.4766 0.4766
0.0000 0.5234 0.5234
0.2500 0.0000 0.0000
0.7500 0.0000 0.0000
0.5000 0.7740 0.7740
0.0000 0.2260 0.2260
```


No. 10
First-principles (GGA-PBE) data for a relaxed SmNi2GeSb crystal, as listed in OQMD.

- symmetry = P4/nmm (129)

```
SmNi2GeSb
1.0
4.2663 0.0000 0.0000
0.0000 4.2663 0.0000
0.0000 0.0000 9.9625
Sb Ni Sm Ge
2 4 2 2
direct
0.0000 0.5000 0.1377
0.5000 0.0000 0.8623
0.0000 0.0000 0.0000
0.5000 0.5000 0.0000
0.0000 0.5000 0.3900
0.5000 0.0000 0.6100
0.5000 0.0000 0.2620
0.0000 0.5000 0.7380
0.0000 0.0000 0.5000
0.5000 0.5000 0.5000
```


No. 11
First-principles (GGA-PBE) data for a relaxed ScNiGe2 crystal, as listed in OQMD.

- symmetry = F-43m (216)

```
ScNiGe2
1.0
2.2632 1.3067 3.6958
-2.2632 1.3067 3.6958
0.0000 -2.6133 3.6958
Sc Ni Ge
1 1 2
direct
0.0000 0.0000 0.0000
0.2500 0.2500 0.2500
0.7500 0.7500 0.7500
0.5000 0.5000 0.5000
```


No. 12
First-principles (GGA-PBE) data for a relaxed ScNi6Ge4 crystal, as listed in OQMD.

- symmetry = P-6m2 (187)

```
ScNi6Ge4
1.0
-3.0101 3.5914 -4.9561
4.9139 -4.4747 -1.5336
-2.5233 -2.6405 -0.3809
Ge Ni Sc
4 6 1
direct
0.6667 0.3333 0.0000
0.1877 0.3754 0.5000
0.1877 0.8123 0.5000
0.6246 0.8123 0.5000
0.7966 0.5931 0.5000
0.4634 0.5366 0.0000
0.4634 0.9267 0.0000
0.0733 0.5366 0.0000
0.7966 0.2034 0.5000
0.4069 0.2034 0.5000
0.0000 0.0000 0.0000
```


No. 13
First-principles (GGA-PBE) data for a relaxed Sc6Ni16Ge7 crystal, as listed in OQMD.

- symmetry = Fm-3m (225)

```
Sc6Ni16Ge7
1.0
-5.8302 5.8302 0.0000
5.8302 0.0000 -5.8302
-5.8302 -5.8302 0.0000
Ni Ge Sc
16 7 6
direct
0.3806 0.7611 0.6194
0.8310 0.6621 0.1690
0.4931 0.6621 0.8310
0.8583 0.2389 0.6194
0.3806 0.2389 0.6194
0.6194 0.2389 0.8583
0.8310 0.3379 0.1690
0.1417 0.7611 0.3806
0.6194 0.7611 0.3806
0.1690 0.6621 0.8310
0.1690 0.3379 0.8310
0.3806 0.7611 0.1417
0.8310 0.6621 0.4931
0.1690 0.3379 0.5069
0.5069 0.3379 0.1690
0.6194 0.2389 0.3806
0.0000 0.5000 0.5000
0.5000 0.0000 0.5000
0.0000 0.5000 0.0000
0.5000 0.0000 0.0000
0.5000 0.5000 0.0000
0.5000 0.5000 0.5000
0.0000 0.0000 0.5000
0.7920 0.5840 0.7920
0.7920 0.0000 0.7920
0.2080 0.4160 0.2080
0.2080 0.0000 0.2080
0.2080 0.0000 0.7920
0.7920 0.0000 0.2080
```


No. 14
First-principles (GGA-PBE) data for a relaxed ScNi2Ge crystal, as listed in OQMD.

- symmetry = F-43m (216)

```
ScNi2Ge
1.0
0.0421 -3.3763 -2.6713
-2.5537 -0.0346 -3.4662
1.7053 0.3888 -3.9342
Ni Sc Ge
2 1 1
direct
0.5000 0.5000 0.5000
0.7500 0.7500 0.7500
0.0000 0.0000 0.0000
0.2500 0.2500 0.2500
```


No. 15
First-principles (GGA-PBE) data for a relaxed Sc2NiGe crystal, as listed in OQMD.

- symmetry = F-43m (216)

```
Sc2NiGe
1.0
3.5753 -2.5725 1.1809
2.9974 1.5354 3.0746
0.1808 -1.8866 4.1477
Ni Ge Sc
1 1 2
direct
0.2500 0.2500 0.2500
0.0000 0.0000 0.0000
0.7500 0.7500 0.7500
0.5000 0.5000 0.5000
```


No. 16
First-principles (GGA-PBE) data for a relaxed ScNi6Ge6 crystal, as listed in OQMD.

- symmetry = P6/mmm (191)

```
ScNi6Ge6
1.0
10.2187 0.0000 0.0000
-5.1094 8.8497 0.0000
0.0000 0.0000 7.8317
Ge Ni Sc
24 24 4
direct
0.8339 0.6678 0.0000
0.3322 0.1661 0.0000
0.8321 0.1679 0.5000
0.1679 0.8321 0.5000
0.1679 0.3358 0.5000
0.0000 0.5000 0.1594
0.6642 0.8321 0.5000
0.6667 0.3333 0.0000
0.6678 0.8339 0.0000
0.5000 0.5000 0.1594
0.8339 0.1661 0.0000
0.3358 0.1679 0.5000
0.3333 0.6667 0.0000
0.0000 0.0000 0.3422
0.3333 0.6667 0.5000
0.5000 0.5000 0.8406
0.1661 0.3322 0.0000
0.5000 0.0000 0.8406
0.0000 0.5000 0.8406
0.5000 0.0000 0.1594
0.1661 0.8339 0.0000
0.8321 0.6642 0.5000
0.0000 0.0000 0.6578
0.6667 0.3333 0.5000
0.2500 0.4999 0.7518
0.7503 0.7503 0.2524
0.7503 0.7503 0.7476
0.2497 0.0000 0.7476
0.5001 0.7501 0.7518
0.0000 0.2497 0.7476
0.2497 0.0000 0.2524
0.7503 0.0000 0.7476
0.0000 0.7503 0.7476
0.4999 0.2499 0.7518
0.4999 0.2499 0.2482
0.7503 0.0000 0.2524
0.7501 0.2500 0.7518
0.7501 0.5001 0.2482
0.2500 0.7501 0.7518
0.0000 0.7503 0.2524
0.2497 0.2497 0.2524
0.0000 0.2497 0.2524
0.7501 0.5001 0.7518
0.2497 0.2497 0.7476
0.2500 0.7501 0.2482
0.7501 0.2500 0.2482
0.2500 0.4999 0.2482
0.5001 0.7501 0.2482
0.5000 0.5000 0.5000
0.0000 0.0000 0.0000
0.0000 0.5000 0.5000
0.5000 0.0000 0.5000
```


No. 17
First-principles (GGA-PBE) data for a relaxed Sc6NiGe2 crystal, as listed in OQMD.

- symmetry = P-62m (189)

```
Sc6NiGe2
1.0
7.4503 0.0000 0.0000
-3.7252 6.4522 0.0000
0.0000 0.0000 3.7870
Sc Ni Ge
6 1 2
direct
0.4053 0.4053 0.0000
0.0000 0.5947 0.0000
0.7504 0.7504 0.5000
0.5947 0.0000 0.0000
0.2496 0.0000 0.5000
0.0000 0.2496 0.5000
0.0000 0.0000 0.0000
0.3333 0.6667 0.5000
0.6667 0.3333 0.5000
```


No. 18
First-principles (GGA-PBE) data for a relaxed ScNi2Ge crystal, as listed in OQMD.

- symmetry = F-43m (216)

```
ScNi2Ge
1.0
4.0554 -1.3438 0.5521
2.4412 1.7349 3.0964
1.0453 -2.3229 3.4740
Ge Ni Sc
1 2 1
direct
0.0000 0.0000 0.0000
0.7500 0.7500 0.7500
0.5000 0.5000 0.5000
0.2500 0.2500 0.2500
```


No. 19
First-principles (GGA-PBE) data for a relaxed Sc3Si2Ni4Ge2 crystal, as listed in OQMD.

- symmetry = Immm (71)

```
Sc3Si2Ni4Ge2
1.0
-1.9253 3.2645 6.4284
1.9253 -3.2645 6.4284
1.9253 3.2645 -6.4284
Sc Ni Ge Si
3 4 2 2
direct
0.1270 0.6270 0.5000
0.5000 0.5000 0.0000
0.8730 0.3730 0.5000
0.4849 0.1811 0.3037
0.8774 0.1811 0.6963
0.5151 0.8189 0.6963
0.1226 0.8189 0.3037
0.1976 0.0000 0.1976
0.8024 0.0000 0.8024
0.2807 0.2807 0.0000
0.7193 0.7193 0.0000
```


No. 20
First-principles (GGA-PBE) data for a relaxed Sc3Si2Ni4Ge2 crystal, as listed in OQMD.

- symmetry = Immm (71)

```
Sc3Si2Ni4Ge2
1.0
-1.9536 3.2731 6.3813
1.9536 -3.2731 6.3813
1.9536 3.2731 -6.3813
Sc Ni Ge Si
3 4 2 2
direct
0.0000 0.0000 0.0000
0.6252 0.1252 0.5000
0.3748 0.8748 0.5000
0.6329 0.3286 0.3042
0.3671 0.6714 0.6958
0.9756 0.6714 0.3042
0.0244 0.3286 0.6958
0.2199 0.2199 0.0000
0.7801 0.7801 0.0000
0.3123 0.5000 0.8123
0.6877 0.5000 0.1877
```


No. 21
First-principles (GGA-PBE) data for a relaxed ScTaNiGe crystal, as listed in OQMD.

- symmetry = F-43m (216)

```
ScTaNiGe
1.0
2.8054 -3.5433 -0.0266
2.1081 -1.2418 3.8000
-1.1779 -3.8306 2.0893
Ge Ni Sc Ta
1 1 1 1
direct
0.0000 0.0000 0.0000
0.7500 0.7500 0.7500
0.5000 0.5000 0.5000
0.2500 0.2500 0.2500
```


No. 22
First-principles (GGA-PBE) data for a relaxed ScTcNiGe crystal, as listed in OQMD.

- symmetry = F-43m (216)

```
ScTcNiGe
1.0
3.5120 1.8976 1.7275
0.0777 0.9852 4.2359
2.5699 -2.2346 2.7058
Ge Ni Tc Sc
1 1 1 1
direct
0.0000 0.0000 0.0000
0.7500 0.7500 0.7500
0.2500 0.2500 0.2500
0.5000 0.5000 0.5000
```


Let's list final energy in order: -0.6160 -0.5916 -0.3428 -0.3530 -0.3506 -0.3722 -0.3567 -0.3016 -0.3028 -0.4135 -0.4026 -0.4238 -0.4492 -0.4334 -0.4345 -0.4117 -0.4721 -0.4334 -0.4710 -0.4664 -0.5103 -0.5190 Ry per atom.